*P*
DFT (GGA-PBE) results for a relaxed structure of Cu2AgHg2.

Calculated values
Density of states at the Fermi level ... 1.75 states/eV/f.u.
Total magnetization ... 0.0 μB/f.u.
Symmetry ... I4/mmm (139)
Density ... 11.4 g cm⁻³

a b c (Å): 3.4559 3.4559 8.1663
angles (deg): 77.78 77.78 90.00
Sites, in units of the cell vectors:
Cu1 0.7500 0.2500 0.5000
Cu2 0.2500 0.7500 0.5000
Hg1 0.3889 0.3889 0.2221
Hg2 0.6111 0.6111 0.7779
Ag1 0.0000 0.0000 0.0000


*Q*
DFT (GGA-PBE) results for a relaxed structure of Cu2AgHg2.

Calculated values
Density of states at the Fermi level ... 1.80 states/eV/f.u.
Total magnetization ... 0.0 μB/f.u.
Symmetry ... P4/mbm (127)
Density ... 11.7 g cm⁻³

a b c (Å): 7.5786 7.5786 3.1309
angles (deg): 90.00 90.00 90.00
Sites, in units of the cell vectors:
Cu1 0.1496 0.6496 0.5000
Cu2 0.6496 0.8504 0.5000
Cu3 0.8504 0.3504 0.5000
Cu4 0.3504 0.1496 0.5000
Hg1 0.3507 0.8507 0.0000
Hg2 0.8507 0.6493 0.0000
Hg3 0.6493 0.1493 0.0000
Hg4 0.1493 0.3507 0.0000
Ag1 0.0000 0.0000 0.0000
Ag2 0.5000 0.5000 0.0000


Pick *P*: it beats the second-best structure by 38 meV/atom.